Record 1
# Fe5NiRh4

Fe5NiRh4 after structural relaxation (GGA-PBE, Alexandria via LeMat-Bulk).

## Properties
As for the total energy: -7.756 eV/atom. Its volume is 12.9 Å³ per atom. As for the space-group type: P4/mmm, No. 123. The formation energy is -0.006 eV/atom.

a b c (Å): 2.6808 2.6808 17.9399
angles (deg): 90.00 90.00 90.00
Closest atoms and distances in Å follow each position.
Fractional positions:
1 Fe 0.0000 0.0000 0.0000  8 Rh 2.63, 4 Fe 2.68
2 Fe 0.0000 0.0000 0.2033  8 Rh 2.63, 4 Fe 2.68
3 Fe 0.0000 0.0000 0.4072  4 Ni 2.52, 4 Rh 2.64, 4 Fe 2.68
4 Fe 0.0000 0.0000 0.5928  4 Ni 2.52, 4 Rh 2.64, 4 Fe 2.68
5 Fe 0.0000 0.0000 0.7967  8 Rh 2.63, 4 Fe 2.68
6 Ni 0.5000 0.5000 0.5000  8 Fe 2.52, 4 Ni 2.68
7 Rh 0.5000 0.5000 0.1014  8 Fe 2.63, 4 Rh 2.68
8 Rh 0.5000 0.5000 0.3048  8 Fe 2.63-2.64, 4 Rh 2.68
9 Rh 0.5000 0.5000 0.6952  8 Fe 2.63-2.64, 4 Rh 2.68
10 Rh 0.5000 0.5000 0.8986  8 Fe 2.63, 4 Rh 2.68


Record 2
# LaPrNd

LaPrNd after structural relaxation (GGA-PBE, Alexandria via LeMat-Bulk).

## Properties
As for the total energy: -4.815 eV/atom. Its volume is 36.2 Å³ per atom. As for the relative energy among the computed polymorphs: 0 meV per atom. As for the space-group type: P3m1, No. 156. The formation energy is 0.010 eV/atom.

a b c (Å): 3.7123 3.7123 9.0885
angles (deg): 90.00 90.00 120.00
Closest atoms and distances in Å follow each position.
Fractional positions:
1 La 0.0000 0.0000 0.0000  3 Nd 3.71, 6 La 3.71, 3 Pr 3.73
2 Pr 0.6667 0.3333 0.3365  3 Nd 3.69, 6 Pr 3.71, 3 La 3.73
3 Nd 0.3333 0.6667 0.6672  3 Pr 3.69, 3 La 3.71, 6 Nd 3.71


Record 3
# ZrCdGe3

ZrCdGe3 after structural relaxation (GGA-PBE, Alexandria via LeMat-Bulk).

## Properties
As for the total energy: -3.734 eV/atom. Its volume is 25.2 Å³ per atom. As for the relative energy among the computed polymorphs: 495 meV per atom. As for the space-group type: Pm-3m, No. 221. The formation energy is 0.929 eV/atom.

a b c (Å): 5.0159 5.0159 5.0159
angles (deg): 90.00 90.00 90.00
Closest atoms and distances in Å follow each position.
Fractional positions:
1 Zr 0.0000 0.0000 0.0000  12 Ge 3.55
2 Cd 0.5000 0.5000 0.5000  6 Ge 2.51
3 Ge 0.0000 0.5000 0.5000  2 Cd 2.51
4 Ge 0.5000 0.0000 0.5000  2 Cd 2.51
5 Ge 0.5000 0.5000 0.0000  2 Cd 2.51


Record 4
# Cr5Pb

Cr5Pb after structural relaxation (GGA-PBE, Alexandria via LeMat-Bulk).

## Properties
As for the total energy: -8.287 eV/atom. Its volume is 14.8 Å³ per atom. As for the relative energy among the computed polymorphs: 0 meV per atom. As for the space-group type: P4/mmm, No. 123. The formation energy is 0.351 eV/atom.

a b c (Å): 2.9786 2.9786 10.0348
angles (deg): 90.00 90.00 90.00
Closest atoms and distances in Å follow each position.
Fractional positions:
1 Cr 0.0000 0.0000 0.0000  10 Cr 2.56-2.79
2 Cr 0.0000 0.0000 0.2779  5 Cr 2.49-2.79
3 Cr 0.0000 0.0000 0.7221  5 Cr 2.49-2.79
4 Cr 0.5000 0.5000 0.1447  8 Cr 2.49-2.56
5 Cr 0.5000 0.5000 0.8553  8 Cr 2.49-2.56
6 Pb 0.5000 0.5000 0.5000  4 Pb 2.98, 8 Cr 3.07